[1]
RbAgO2 | PBE | relaxed

Results
Crystal system   trigonal
Energy   -14.15 eV/f.u.
ΔE_f (raw)   -0.10 eV per atom
D(E_F)   3.52 states/eV per cell

Cell: 7.1760 7.1760 7.1760 Å, 28.12 28.12 28.12°
Last column: nearest neighbours and their distance in Å.
Fractional coordinates of all 4 atoms:
Rb  0.0000  0.0000  0.0000  2 O 2.53
Ag  0.5000  0.5000  0.5000  6 O 2.21
O  0.1222  0.1222  0.1222  3 Ag 2.21
O  0.8778  0.8778  0.8778  3 Ag 2.21



[2]
La6CoRh2I3 | PBE | relaxed

Results
Crystal system   monoclinic
Energy   -67.22 eV/f.u.
ΔE_f (raw)   -0.93 eV per atom
D(E_F)   4.18 states/eV per cell

Cell: 7.2770 7.2770 8.6164 Å, 98.09 98.09 120.00°
Last column: nearest neighbours and their distance in Å.
Fractional coordinates of all 12 atoms:
La  0.0614  0.3860  0.1840  1 Co 2.81, 2 Rh 2.89
La  0.2631  0.2631  0.8156  1 Co 2.81, 2 Rh 2.89
La  0.3860  0.0614  0.1840  1 Co 2.81, 2 Rh 2.89
La  0.6140  0.9386  0.8160  1 Co 2.81, 2 Rh 2.89
La  0.7369  0.7369  0.1844  1 Co 2.81, 2 Rh 2.89
La  0.9386  0.6140  0.8160  1 Co 2.81, 2 Rh 2.89
Co  0.0000  0.0000  0.0000  6 La 2.81
Rh  0.3334  0.6666  0.0000  6 La 2.89
Rh  0.6666  0.3334  0.0000  6 La 2.89
I  0.1671  0.8329  0.5000  6 La 3.54-3.60
I  0.5000  0.5000  0.5000  6 La 3.54-3.61
I  0.8329  0.1671  0.5000  6 La 3.54-3.60



[3]
Li2InPd2 | PBE | relaxed

Results
Crystal system   tetragonal
Calculated formation energy   -0.2927 eV/atom
Energy   -18.42 eV/f.u.
D(E_F)   2.09 states/eV per cell

Cell: 5.0577 5.0577 5.0577 Å, 127.96 127.96 76.68°
Last column: nearest neighbours and their distance in Å.
Fractional coordinates of all 5 atoms:
Li  0.1334  0.1334  0.0000  1 Li 2.12
Li  0.8666  0.8666  0.0000  1 Li 2.12
In  0.5000  0.5000  0.0000  2 Li 2.91, 8 Pd 2.98
Pd  0.2500  0.7500  0.5000  4 Li 2.40
Pd  0.7500  0.2500  0.5000  4 Li 2.40



[4]
LiMg4Au15 | PBE | relaxed

Results
Crystal system   tetragonal
Calculated formation energy   -0.3757 eV/atom
Energy   -64.97 eV/f.u.
D(E_F)   9.32 states/eV per cell

Cell: 4.0979 4.0979 21.0073 Å, 90.00 90.00 90.00°
Last column: nearest neighbours and their distance in Å.
Fractional coordinates of all 20 atoms:
Li  0.0000  0.0000  0.0000  12 Au 2.89-2.90
Mg  0.0000  0.0000  0.1966  12 Au 2.90-2.96
Mg  0.0000  0.0000  0.3992  12 Au 2.90-2.95
Mg  0.0000  0.0000  0.6008  12 Au 2.90-2.95
Mg  0.0000  0.0000  0.8034  12 Au 2.90-2.96
Au  0.0000  0.5000  0.0973  8 Au 2.89-2.94, 2 Li 2.89, 2 Mg 2.92
Au  0.0000  0.5000  0.2983  8 Au 2.90-2.95, 4 Mg 2.95-2.96
Au  0.0000  0.5000  0.5000  8 Au 2.90-2.95, 4 Mg 2.95
Au  0.0000  0.5000  0.7017  8 Au 2.90-2.95, 4 Mg 2.95-2.96
Au  0.0000  0.5000  0.9027  8 Au 2.89-2.94, 2 Li 2.89, 2 Mg 2.92
Au  0.5000  0.0000  0.0973  8 Au 2.89-2.94, 2 Li 2.89, 2 Mg 2.92
Au  0.5000  0.0000  0.2983  8 Au 2.90-2.95, 4 Mg 2.95-2.96
Au  0.5000  0.0000  0.5000  8 Au 2.90-2.95, 4 Mg 2.95
Au  0.5000  0.0000  0.7017  8 Au 2.90-2.95, 4 Mg 2.95-2.96
Au  0.5000  0.0000  0.9027  8 Au 2.89-2.94, 2 Li 2.89, 2 Mg 2.92
Au  0.5000  0.5000  0.0000  8 Au 2.89, 4 Li 2.90
Au  0.5000  0.5000  0.1978  4 Mg 2.90, 8 Au 2.94
Au  0.5000  0.5000  0.3992  4 Mg 2.90, 8 Au 2.95
Au  0.5000  0.5000  0.6008  4 Mg 2.90, 8 Au 2.95
Au  0.5000  0.5000  0.8022  4 Mg 2.90, 8 Au 2.94



[5]
La2BeRhO6 | PBE | relaxed

Results
Crystal system   monoclinic
Energy   -74.50 eV/f.u.
ΔE_f (raw)   -2.38 eV per atom
D(E_F)   12.26 states/eV per cell

Cell: 5.4945 5.4362 9.4268 Å, 90.00 125.46 90.00°
Last column: nearest neighbours and their distance in Å.
Fractional coordinates of all 20 atoms:
La  0.2450  0.0237  0.2489  6 O 2.42-2.62
La  0.2450  0.4763  0.7489  6 O 2.42-2.62
La  0.7550  0.5237  0.2511  6 O 2.42-2.62
La  0.7550  0.9763  0.7511  6 O 2.42-2.62
Be  0.0000  0.0000  0.5000  6 O 1.87-1.89
Be  0.0000  0.5000  0.0000  6 O 1.87-1.89
Rh  0.5000  0.0000  0.0000  6 O 2.02-2.03
Rh  0.5000  0.5000  0.5000  6 O 2.02-2.03
O  0.1807  0.2333  0.9647  1 Be 1.89, 1 Rh 2.03
O  0.1807  0.2667  0.4647  1 Be 1.89, 1 Rh 2.03
O  0.2310  0.7170  0.9654  1 Be 1.89, 1 Rh 2.02
O  0.2310  0.7830  0.4654  1 Be 1.89, 1 Rh 2.02
O  0.3045  0.0059  0.7395  1 Be 1.87, 1 Rh 2.03
O  0.3045  0.4941  0.2395  1 Be 1.87, 1 Rh 2.03
O  0.6955  0.5059  0.7605  1 Be 1.87, 1 Rh 2.03
O  0.6955  0.9941  0.2605  1 Be 1.87, 1 Rh 2.03
O  0.7690  0.2170  0.5346  1 Be 1.89, 1 Rh 2.02
O  0.7690  0.2830  0.0346  1 Be 1.89, 1 Rh 2.02
O  0.8193  0.7333  0.5353  1 Be 1.89, 1 Rh 2.03
O  0.8193  0.7667  0.0353  1 Be 1.89, 1 Rh 2.03



[6]
FeRhBr4 | PBE | relaxed

Results
Crystal system   cubic
Energy   -14.07 eV/f.u.
ΔE_f (raw)   1.41 eV per atom
D(E_F)   13.98 states/eV per cell

Cell: 6.1027 6.1027 6.1027 Å, 60.00 60.00 60.00°
Last column: nearest neighbours and their distance in Å.
Fractional coordinates of all 6 atoms:
Fe  0.0000  0.0000  0.0000  12 Br 3.58, 4 Rh 3.74
Rh  0.7500  0.7500  0.7500  12 Br 3.58, 4 Fe 3.74
Br  0.3752  0.3752  0.3752  6 Br 3.05-3.06
Br  0.3752  0.3752  0.8743  6 Br 3.05-3.06
Br  0.3752  0.8743  0.3752  6 Br 3.05-3.06
Br  0.8743  0.3752  0.3752  6 Br 3.05-3.06



[7]
ZrTiSiTe2 | PBE | relaxed

Results
Crystal system   tetragonal
Energy   -24.06 eV/f.u.
ΔE_f (raw)   0.82 eV per atom
D(E_F)   5.54 states/eV per cell

Cell: 5.5226 5.5226 4.9280 Å, 90.00 90.00 90.00°
Last column: nearest neighbours and their distance in Å.
Fractional coordinates of all 5 atoms:
Zr  0.0000  0.0000  0.0000  2 Ti 2.46
Ti  0.0000  0.0000  0.5000  2 Zr 2.46
Si  0.5000  0.5000  0.5000  8 Te 3.70, 4 Ti 3.91
Te  0.0000  0.5000  0.0000  2 Zr 2.76
Te  0.5000  0.0000  0.0000  2 Zr 2.76



[8]
LaNiAs2 | PBE | relaxed

Results
Crystal system   tetragonal
Calculated formation energy   -0.9288 eV/atom
Energy   -23.72 eV/f.u.
D(E_F)   2.18 states/eV per cell

Cell: 5.6578 5.6578 5.6578 Å, 136.99 136.99 62.45°
Last column: nearest neighbours and their distance in Å.
Fractional coordinates of all 4 atoms:
La  0.0000  0.0000  0.0000  4 Ni 3.19, 10 As 3.21-3.53
Ni  0.2500  0.7500  0.5000  4 As 2.35
As  0.3646  0.3646  0.0000  2 Ni 2.35, 1 As 2.62
As  0.6354  0.6354  0.0000  2 Ni 2.35, 1 As 2.62



[9]
SiBF | PBE | relaxed

Results
Crystal system   triclinic
Energy   -16.46 eV/f.u.
ΔE_f (raw)   -0.83 eV per atom
D(E_F)   1.18 states/eV per cell

Cell: 2.7466 5.0988 6.9157 Å, 72.96 89.30 75.61°
Last column: nearest neighbours and their distance in Å.
Fractional coordinates of all 6 atoms:
Si  0.1219  0.2673  0.4838  3 B 2.06-2.15
Si  0.8781  0.7327  0.5162  3 B 2.06-2.15
B  0.3067  0.8786  0.7025  1 F 1.34
B  0.6933  0.1214  0.2975  1 F 1.34
F  0.3363  0.8002  0.9050  1 B 1.34
F  0.6637  0.1998  0.0950  1 B 1.34



[10]
Pm2TmMgTl4 | PBE | relaxed

Results
Crystal system   trigonal
Calculated formation energy   -0.3021 eV/atom
Energy   -27.45 eV/f.u.
D(E_F)   4.14 states/eV per cell

Cell: 9.4612 9.4612 9.4612 Å, 32.61 32.61 32.61°
Last column: nearest neighbours and their distance in Å.
Fractional coordinates of all 8 atoms:
Pm  0.2422  0.2422  0.2422  8 Tl 3.18-3.51
Pm  0.7578  0.7578  0.7578  8 Tl 3.18-3.51
Tm  0.0000  0.0000  0.0000  8 Tl 3.25-3.27
Mg  0.5000  0.5000  0.5000  8 Tl 3.29-3.41, 6 Pm 3.68
Tl  0.1219  0.1219  0.1219  4 Pm 3.18-3.23, 1 Tm 3.27, 3 Mg 3.29
Tl  0.3729  0.3729  0.3729  3 Tm 3.25, 4 Pm 3.36-3.51, 1 Mg 3.41
Tl  0.6271  0.6271  0.6271  3 Tm 3.25, 4 Pm 3.36-3.51, 1 Mg 3.41
Tl  0.8781  0.8781  0.8781  4 Pm 3.18-3.23, 1 Tm 3.27, 3 Mg 3.29



[11]
Na2MoP | PBE | relaxed

Results
Crystal system   tetragonal
Calculated formation energy   0.5099 eV/atom
Energy   -16.84 eV/f.u.
D(E_F)   3.63 states/eV per cell

Cell: 7.7135 7.7135 7.7135 Å, 95.35 95.35 144.43°
Last column: nearest neighbours and their distance in Å.
Fractional coordinates of all 8 atoms:
Na  0.3750  0.2251  0.3501  2 P 2.86
Na  0.7749  0.1250  0.1499  2 P 2.86
Na  0.8750  0.0249  0.6499  2 P 2.86
Na  0.9751  0.6250  0.8501  2 P 2.86
Mo  0.2500  0.7500  0.5000  2 P 2.36
Mo  0.5000  0.5000  0.0000  2 P 2.36
P  0.0000  0.0000  0.0000  2 Mo 2.36
P  0.7500  0.2500  0.5000  2 Mo 2.36



[12]
Pr8Y4Ho | PBE | relaxed

Results
Crystal system   orthorhombic
Calculated formation energy   0.2105 eV/atom
Energy   -65.93 eV/f.u.
D(E_F)   19.27 states/eV per cell

Cell: 6.9206 6.9206 10.6465 Å, 90.00 90.00 113.70°
Last column: nearest neighbours and their distance in Å.
Fractional coordinates of all 13 atoms:
Pr  0.2366  0.7634  0.1938  4 Y 3.43-3.77, 6 Pr 3.61-3.80
Pr  0.2366  0.7634  0.8062  4 Y 3.43-3.77, 6 Pr 3.61-3.80
Pr  0.2853  0.2853  0.2915  1 Ho 3.10, 1 Pr 3.25
Pr  0.2853  0.2853  0.7085  1 Ho 3.10, 1 Pr 3.25
Pr  0.7147  0.7147  0.2915  1 Ho 3.10, 1 Pr 3.25
Pr  0.7147  0.7147  0.7085  1 Ho 3.10, 1 Pr 3.25
Pr  0.7634  0.2366  0.1938  4 Y 3.43-3.77, 6 Pr 3.61-3.80
Pr  0.7634  0.2366  0.8062  4 Y 3.43-3.77, 6 Pr 3.61-3.80
Y  0.0000  0.0000  0.0000  8 Pr 3.43-3.78, 2 Y 3.78
Y  0.0000  0.5000  0.5000  2 Ho 3.46, 8 Pr 3.66-3.77, 2 Y 3.78
Y  0.5000  0.0000  0.5000  2 Ho 3.46, 8 Pr 3.66-3.77, 2 Y 3.78
Y  0.5000  0.5000  0.0000  8 Pr 3.50-3.68, 2 Y 3.78
Ho  0.0000  0.0000  0.5000  4 Pr 3.10, 4 Y 3.46